# LiZrCl2 | the Alexandria database | PBE-GGA | relaxed
# E above lowest polymorph: 0.088 eV per atom
# Uncorrected formation energy: -1.071 eV per atom
data_LiZrCl2
_chemical_formula_sum 'Li3 Zr3 Cl6'
_cell_length_a 3.3377
_cell_length_b 3.3377
_cell_length_c 26.0663
_cell_angle_alpha 90.00
_cell_angle_beta 90.00
_cell_angle_gamma 120.00
_symmetry_space_group_name_H-M 'R -3 m'
_symmetry_Int_Tables_number 166
_symmetry_space_group_name_Hall '-R 3 2"'
loop_
_atom_site_label
_atom_site_fract_x
_atom_site_fract_y
_atom_site_fract_z
Li1 0.0000 0.0000 0.0000
Zr1 0.0000 0.0000 0.5000
Cl1 0.0000 0.0000 0.0951